The following is a GGA-PBE calculation of a relaxed PdIBr crystal, from Alexandria.

abc: 4.020 4.020 6.573
angles: 90.00 90.00 120.00
Each line ends with the local moment (μB).
Atoms (fractional coordinates):
I (0.333, 0.667, 0.563)  0.33
Br (0.000, 0.000, 0.108)  0.26
Pd (0.667, 0.333, 0.329)  0.83

Uncorrected energy: -8.76 eV/cell
Mass density: 5.7 Mg/m³
Relative energy among the computed polymorphs: 0.00 kJ per mole of atoms
Uncorrected formation energy: -0.114 eV per atom
N(E_F): 3.5 states/eV/cell
SG: P3m1 (156)

The following is a GGA-PBE calculation of a relaxed PdI3Br crystal, from Alexandria.

abc: 5.488 5.488 5.488
angles: 90.00 90.00 90.00
Each line ends with the local moment (μB).
Atoms (fractional coordinates):
I (0.000, 0.500, 0.000)  0.10
I (0.000, 0.000, 0.500)  0.09
I (0.500, 0.000, 0.000)  0.20
Br (0.500, 0.500, 0.500)  0.39
Pd (0.000, 0.000, 0.000)  0.05

Uncorrected energy: -10.63 eV/cell
Mass density: 5.7 Mg/m³
Relative energy among the computed polymorphs: 28.82 kJ per mole of atoms
Uncorrected formation energy: 0.176 eV per atom
N(E_F): 6.9 states/eV/cell
SG: Pm-3m (221)

The following is a GGA-PBE calculation of a relaxed PdIBr crystal, from Alexandria.

abc: 6.708 5.973 5.973
angles: 68.85 56.39 56.39
Atoms (fractional coordinates):
Pd (0.461, 0.268, 0.955)
Pd (0.961, 0.268, 0.955)
I (0.211, 0.978, 0.245)
I (0.711, 0.558, 0.665)
Br (0.961, 0.768, 0.955)
Br (0.461, 0.268, 0.455)

Uncorrected energy: -16.74 eV/cell
Mass density: 6.3 Mg/m³
Relative energy among the computed polymorphs: 12.46 kJ per mole of atoms
Uncorrected formation energy: 0.015 eV per atom
N(E_F): 5.2 states/eV/cell
SG: C2/c (15)

The following is a GGA-PBE calculation of a relaxed Pd2I6Br crystal, from Alexandria.

abc: 4.808 9.890 10.884
angles: 95.98 104.77 119.80
Atoms (fractional coordinates):
Pd (0.677, 0.426, 0.826)
Pd (0.323, 0.574, 0.174)
I (0.023, 0.198, 0.710)
I (0.692, 0.324, 0.043)
I (0.308, 0.676, 0.957)
I (0.754, 0.579, 0.643)
I (0.246, 0.421, 0.357)
I (0.977, 0.802, 0.290)
Br (0.000, 0.000, 0.500)

Uncorrected energy: -22.27 eV/cell
Mass density: 4.2 Mg/m³
Uncorrected formation energy: -0.101 eV per atom
N(E_F): 2.0 states/eV/cell
SG: P-1 (2)

> Which of these has the highest uncorrected formation energy?

PdI3Br